w) Density functional theory data (GGA-PBE) for crystalline Be2TcGe2 at its relaxed geometry.

Structure (POSCAR):
```
Be2TcGe2
1.0
3.213 0.000 0.000
0.000 3.213 0.000
1.606 1.606 6.364
Ge Tc Be
2 1 2
Direct
0.611 0.611 0.777
0.389 0.389 0.223
0.000 0.000 0.000
0.750 0.250 0.500
0.250 0.750 0.500
```

Properties
As for the calculated density: 6.605 g/cm3. For the volume, the calculation gives 13.14 Å³/atom. Its total magnetic moment is 0.0 Bohr magnetons per cell.

x) Density functional theory data (GGA-PBE) for crystalline Be2TcGe2 at its relaxed geometry.

Structure (POSCAR):
```
Be2TcGe2
1.0
-0.100 -0.950 6.337
0.875 -6.281 -0.928
3.226 0.432 0.116
Be Ge Tc
4 4 2
Direct
0.661 0.839 0.500
0.339 0.161 0.500
0.839 0.339 0.500
0.161 0.661 0.500
0.139 0.361 0.000
0.639 0.139 0.000
0.861 0.639 0.000
0.361 0.861 0.000
0.500 0.500 0.000
0.000 0.000 0.000
```

Properties
As for the calculated density: 6.487 g/cm3. For the volume, the calculation gives 13.38 Å³/atom. Its total magnetic moment is 0.0 Bohr magnetons per cell.

Which one sits at the top of the stability order? x) does.

w) Density functional theory data (GGA-PBE) for crystalline BeTcGe3 at its relaxed geometry.

Structure (POSCAR):
```
BeTcGe3
1.0
-0.042 -2.726 3.488
2.083 -3.090 -2.389
3.906 1.618 1.312
Ge Tc Be
3 1 1
Direct
0.000 0.500 0.000
0.000 0.000 0.500
0.500 0.000 0.000
0.500 0.500 0.500
0.000 0.000 0.000
```

Properties
As for the calculated density: 6.221 g/cm3. For the volume, the calculation gives 17.35 Å³/atom. Its total magnetic moment is 2.7 Bohr magnetons per cell.

x) Density functional theory data (GGA-PBE) for crystalline BeTcGe3 at its relaxed geometry.

Structure (POSCAR):
```
BeTcGe3
1.0
-0.155 0.787 -4.744
-4.539 -1.591 -0.116
-1.588 4.472 0.793
Tc Ge Be
1 3 1
Direct
0.000 0.000 0.000
0.500 0.000 0.000
0.000 0.500 0.000
0.000 0.000 0.500
0.500 0.500 0.500
```

Properties
As for the calculated density: 4.844 g/cm3. For the volume, the calculation gives 22.28 Å³/atom. Its total magnetic moment is 0.0 Bohr magnetons per cell.

Which one sits at the top of the stability order? x) does.

w) Density functional theory data (GGA-PBE) for crystalline BeGeTe at its relaxed geometry.

Structure (POSCAR):
```
BeGeTe
1.0
3.767 0.000 -0.008
0.000 3.798 -0.004
-1.875 -1.846 10.007
Te Be Ge
2 2 2
Direct
0.160 0.218 0.431
0.842 0.909 0.797
0.924 0.487 0.956
0.424 0.988 0.961
0.491 0.552 0.091
0.613 0.671 0.336
```

Properties
As for the calculated density: 4.856 g/cm3. For the volume, the calculation gives 23.85 Å³/atom. Its total magnetic moment is 0.0 Bohr magnetons per cell.

x) Density functional theory data (GGA-PBE) for crystalline BeGeTe at its relaxed geometry.

Structure (POSCAR):
```
BeGeTe
1.0
4.040 -0.003 0.001
-0.014 4.096 -0.004
-0.076 -0.344 8.493
Be Ge Te
2 2 2
Direct
0.048 0.773 0.021
0.581 0.103 0.012
0.084 0.271 0.891
0.541 0.790 0.736
0.041 0.118 0.580
0.543 0.626 0.188
```

Properties
As for the calculated density: 4.944 g/cm3. For the volume, the calculation gives 23.43 Å³/atom. Its total magnetic moment is 0.0 Bohr magnetons per cell.

Which one sits at the top of the stability order? w) does.

w) Density functional theory data (GGA-PBE) for crystalline BeGeTe at its relaxed geometry.

Structure (POSCAR):
```
BeGeTe
1.0
-3.859 1.006 0.102
-1.783 -3.462 3.555
-0.076 3.553 6.734
Ge Te Be
2 2 2
Direct
0.079 0.254 0.053
0.007 0.911 0.372
0.596 0.570 0.314
0.345 0.930 0.807
0.750 0.961 0.013
0.530 0.481 0.013
```

Properties
As for the calculated density: 4.638 g/cm3. For the volume, the calculation gives 24.97 Å³/atom. Its total magnetic moment is 0.0 Bohr magnetons per cell.

x) Density functional theory data (GGA-PBE) for crystalline BeGeTe at its relaxed geometry.

Structure (POSCAR):
```
BeGeTe
1.0
-0.735 3.068 -2.351
-3.457 0.957 2.922
6.293 2.880 4.219
Ge Be Te
2 2 2
Direct
0.095 0.915 0.781
0.785 0.395 0.991
0.263 0.419 0.821
0.245 0.761 0.045
0.491 0.617 0.584
0.814 0.000 0.205
```

Properties
As for the calculated density: 4.895 g/cm3. For the volume, the calculation gives 23.66 Å³/atom. Its total magnetic moment is 0.0 Bohr magnetons per cell.

y) Density functional theory data (GGA-PBE) for crystalline BeGeTe at its relaxed geometry.

Structure (POSCAR):
```
BeGeTe
1.0
-1.434 -2.389 -2.829
2.357 -3.932 2.126
-6.439 0.927 2.847
Be Ge Te
2 2 2
Direct
0.982 0.813 0.625
0.018 0.187 0.375
0.504 0.096 0.192
0.496 0.904 0.808
0.036 0.369 0.737
0.964 0.631 0.263
```

Properties
As for the calculated density: 5.222 g/cm3. For the volume, the calculation gives 22.18 Å³/atom. Its total magnetic moment is 0.0 Bohr magnetons per cell.

Which one sits at the top of the stability order? x) does.

w) Density functional theory data (GGA-PBE) for crystalline BeGeTe at its relaxed geometry.

Structure (POSCAR):
```
BeGeTe
1.0
4.100 0.000 -0.003
0.000 4.345 0.000
-2.020 0.000 3.631
Be Te Ge
1 1 1
Direct
0.500 0.553 0.500
0.000 0.890 0.500
0.500 0.327 0.000
```

Properties
As for the calculated density: 5.374 g/cm3. For the volume, the calculation gives 21.55 Å³/atom. Its total magnetic moment is 0.0 Bohr magnetons per cell.

x) Density functional theory data (GGA-PBE) for crystalline BeGeTe at its relaxed geometry.

Structure (POSCAR):
```
BeGeTe
1.0
4.073 -0.002 0.000
0.748 4.973 0.001
1.428 2.152 7.605
Be Te Ge
2 2 2
Direct
0.492 0.482 0.019
0.382 0.944 0.070
0.325 0.166 0.322
0.672 0.219 0.803
0.875 0.774 0.343
0.945 0.733 0.017
```

Properties
As for the calculated density: 4.511 g/cm3. For the volume, the calculation gives 25.68 Å³/atom. Its total magnetic moment is 0.0 Bohr magnetons per cell.

Which one sits at the top of the stability order? x) does.

w) Density functional theory data (GGA-PBE) for crystalline Be3GeTe at its relaxed geometry.

Structure (POSCAR):
```
Be3GeTe
1.0
4.417 0.000 0.000
0.000 4.417 0.000
0.000 0.000 4.417
Be Te Ge
3 1 1
Direct
0.500 0.000 0.000
0.000 0.000 0.500
0.000 0.500 0.000
0.500 0.500 0.500
0.000 0.000 0.000
```

Properties
As for the calculated density: 4.380 g/cm3. For the volume, the calculation gives 17.23 Å³/atom. Its total magnetic moment is 0.0 Bohr magnetons per cell.

x) Density functional theory data (GGA-PBE) for crystalline Be3GeTe at its relaxed geometry.

Structure (POSCAR):
```
Be3GeTe
1.0
-0.150 4.152 2.124
-4.359 -0.879 1.411
1.656 -1.939 3.907
Be Ge Te
3 1 1
Direct
0.000 0.000 0.500
0.500 0.000 0.000
0.000 0.500 0.000
0.500 0.500 0.500
0.000 0.000 0.000
```

Properties
As for the calculated density: 3.716 g/cm3. For the volume, the calculation gives 20.31 Å³/atom. Its total magnetic moment is 0.0 Bohr magnetons per cell.

Which one sits at the top of the stability order? w) does.

w) Density functional theory data (GGA-PBE) for crystalline Be2GeTe at its relaxed geometry.

Structure (POSCAR):
```
Be2GeTe
1.0
0.000 3.201 3.201
3.201 0.000 3.201
3.201 3.201 0.000
Ge Be Te
1 2 1
Direct
0.000 0.000 0.000
0.750 0.750 0.750
0.250 0.250 0.250
0.500 0.500 0.500
```

Properties
As for the calculated density: 5.523 g/cm3. For the volume, the calculation gives 16.41 Å³/atom. Its total magnetic moment is 0.0 Bohr magnetons per cell.

x) Density functional theory data (GGA-PBE) for crystalline Be2GeTe at its relaxed geometry.

Structure (POSCAR):
```
Be2GeTe
1.0
5.667 0.000 0.000
0.000 5.667 0.000
2.834 2.834 5.030
Te Be Ge
2 4 2
Direct
0.750 0.250 0.500
0.000 0.000 0.000
0.875 0.863 0.750
0.375 0.387 0.750
0.613 0.125 0.250
0.137 0.625 0.250
0.250 0.750 0.500
0.500 0.500 0.000
```

Properties
As for the calculated density: 4.487 g/cm3. For the volume, the calculation gives 20.19 Å³/atom. Its total magnetic moment is 0.0 Bohr magnetons per cell.

Which one sits at the top of the stability order? x) does.